First-principles (PBE-GGA) data for a relaxed Zn4GaPd3 crystal, as listed in Alexandria via LeMat-Bulk.

## Properties
Its energy is -3.420 eV per atom. The formation energy comes out at -0.458 eV/atom. The calculation puts the size of the total moment at 0.000 μB/f.u. The space-group type is C2/m, No. 12.

```
Zn4GaPd3
1.0
-0.316 -3.638 -1.618
3.447 -0.612 0.705
3.263 -2.159 9.148
Zn Ga Pd
4 1 3
direct
0.753 0.242 0.505
0.124 0.626 0.249
0.247 0.758 0.495
0.876 0.374 0.751
0.500 0.000 0.000
0.000 0.500 0.000
0.371 0.887 0.743
0.629 0.113 0.257
```

***

First-principles (PBE-GGA) data for a relaxed Nb2TePd9 crystal, as listed in Alexandria via LeMat-Bulk.

## Properties
Its energy is -6.176 eV per atom. The value obtained for the raw formation energy is -341 meV/atom. The calculation puts the size of the total moment at 0.000 μB/f.u. The space-group type is P4/mmm, No. 123.

```
Nb2TePd9
1.0
3.996 0.000 0.000
0.000 3.996 0.000
0.000 0.000 12.298
Pd Te Nb
9 1 2
direct
0.500 0.000 0.500
0.000 0.500 0.815
0.500 0.000 0.815
0.500 0.500 0.657
0.500 0.500 0.343
0.000 0.500 0.500
0.500 0.000 0.185
0.000 0.500 0.185
0.500 0.500 0.000
0.000 0.000 0.000
0.000 0.000 0.332
0.000 0.000 0.668
```

***

First-principles (PBE-GGA) data for a relaxed Cs2Rb6HgPt crystal, as listed in Alexandria via LeMat-Bulk.

## Properties
Its energy is -1.397 eV per atom. The formation energy comes out at -0.012 eV/atom. The calculation puts the size of the total moment at 0.002 μB/f.u. The space-group type is Cm, No. 8.

```
Cs2Rb6HgPt
1.0
10.025 0.004 0.007
0.004 10.025 0.007
-5.010 -5.009 7.080
Hg Cs Rb Pt
1 2 6 1
direct
0.499 0.499 0.997
0.751 0.252 0.502
0.251 0.751 0.502
0.767 0.768 0.001
0.233 0.768 0.000
0.232 0.232 0.464
0.233 0.234 0.000
0.766 0.766 0.532
0.767 0.234 0.000
0.999 0.000 0.998
```

***

First-principles (PBE-GGA) data for a relaxed Ce2ZrTc crystal, as listed in Alexandria via LeMat-Bulk.

## Properties
Its energy is -7.394 eV per atom. The formation energy comes out at 0.302 eV/atom. The calculation puts the size of the total moment at 0.005 μB/f.u. The space-group type is R-3m, No. 166.

```
Ce2ZrTc
1.0
3.131 0.000 0.000
1.565 2.711 0.000
1.565 0.904 10.598
Ce Tc Zr
2 1 1
direct
0.095 0.095 0.714
0.905 0.905 0.286
0.500 0.500 0.500
0.000 0.000 0.000
```

***

First-principles (PBE-GGA) data for a relaxed NdDy2HoBi4 crystal, as listed in Alexandria via LeMat-Bulk.

## Properties
Its energy is -5.130 eV per atom. The formation energy comes out at -0.871 eV/atom. The calculation puts the size of the total moment at 0.000 μB/f.u. The space-group type is P2/m, No. 10.

```
NdDy2HoBi4
1.0
-0.689 -0.375 4.441
-7.468 -1.849 -1.315
-0.671 -7.739 -0.757
Nd Bi Ho Dy
1 4 1 2
direct
0.500 0.500 0.000
0.000 0.245 0.256
0.500 0.248 0.746
0.000 0.755 0.744
0.500 0.752 0.254
0.000 0.500 0.500
0.000 0.000 0.000
0.500 0.000 0.500
```

***

First-principles (PBE-GGA) data for a relaxed Mg6Tl2Sn crystal, as listed in Alexandria via LeMat-Bulk.

## Properties
Its energy is -2.005 eV per atom. Its distance to the lowest polymorph of the same formula is 72.0 meV/atom. The formation energy comes out at 0.028 eV/atom. The calculation puts the size of the total moment at 0.000 μB/f.u. The space-group type is P2_1/c, No. 14.

```
Mg6Tl2Sn
1.0
6.369 0.000 0.801
0.000 7.395 0.000
0.089 0.000 9.762
Mg Tl Sn
12 4 2
direct
0.342 0.534 0.737
0.842 0.966 0.237
0.189 0.366 0.474
0.388 0.778 0.461
0.158 0.034 0.763
0.311 0.866 0.026
0.658 0.466 0.263
0.689 0.134 0.974
0.112 0.278 0.039
0.811 0.634 0.526
0.888 0.722 0.961
0.612 0.222 0.539
0.894 0.388 0.755
0.394 0.112 0.255
0.106 0.612 0.245
0.606 0.888 0.745
0.500 0.500 0.000
0.000 0.000 0.500
```

***

Q: The highest energy belongs to which entry?
A: Cs2Rb6HgPt